1.
Entry from Alexandria via LeMat-Bulk: a crystal of GaH3NF3 relaxed with PBEsol (SCAN).

SG: Aem2 (39)

Geometry as extended XYZ:
```
16
Lattice="5.456 0.000 0.000 -2.728 4.781 0.000 0.000 0.000 5.478" Properties=species:S:1:pos:R:3 pbc="T T T"
Ga -1.364 3.746 4.106
Ga 1.364 3.746 1.371
H 1.364 1.183 5.356
H 4.092 1.183 0.121
H 0.524 1.332 3.925
H -0.524 1.332 1.553
H 3.252 1.332 1.553
H 2.204 1.332 3.925
N 1.364 0.910 4.354
N 4.092 0.910 1.124
F 2.728 3.874 2.739
F 0.000 3.874 2.739
F 2.728 3.531 0.000
F 0.000 3.531 0.000
F 4.092 1.892 3.918
F 1.364 1.892 1.559
```


2.
Entry from Alexandria via LeMat-Bulk: a crystal of AlTcSb2 relaxed with PBEsol (SCAN).

Formation energy without anion corrections (eV/atom): 0.560
SG: Pmmm (47)

Geometry as extended XYZ:
```
4
Lattice="-1.976 -2.801 0.987 3.631 -2.448 0.322 0.477 1.329 4.727" Properties=species:S:1:pos:R:3 pbc="T T T"
Sb 0.000 0.000 0.000
Sb -0.750 -0.736 2.857
Tc 0.828 -2.624 0.655
Al 2.054 -0.559 2.524
```


3.
Entry from Alexandria via LeMat-Bulk: a crystal of CaTePCl2 relaxed with PBEsol (SCAN).

Formation energy without anion corrections (eV/atom): -0.536
SG: P4/mmm (123)

Geometry as extended XYZ:
```
5
Lattice="4.923 0.000 0.000 0.000 4.923 0.000 0.000 0.000 6.004" Properties=species:S:1:pos:R:3 pbc="T T T"
P 0.000 0.000 3.002
Ca 0.000 0.000 0.000
Te 2.462 2.462 3.002
Cl 0.000 2.462 0.000
Cl 2.462 0.000 0.000
```


4.
Entry from Alexandria via LeMat-Bulk: a crystal of MnSe2Cl relaxed with PBEsol (SCAN).

Formation energy without anion corrections (eV/atom): -0.310
Relative energy among the computed polymorphs (meV/atom): 343
SG: P4/mmm (123)

Geometry as extended XYZ:
```
4
Lattice="-2.084 0.077 -3.094 -0.009 -3.729 -0.087 -4.781 -0.064 3.219" Properties=species:S:1:pos:R:3 pbc="T T T"
Mn -2.395 -1.896 1.566
Se 0.000 0.000 0.000
Se -1.046 -1.826 -1.591
Cl -3.433 0.007 0.062
```


5.
Entry from Alexandria via LeMat-Bulk: a crystal of BeSiMo relaxed with PBEsol (SCAN).

Formation energy without anion corrections (eV/atom): -0.041
SG: Imm2 (44)

Geometry as extended XYZ:
```
3
Lattice="2.694 0.000 0.000 0.000 3.305 0.000 -1.347 -1.653 4.088" Properties=species:S:1:pos:R:3 pbc="T T T"
Be 1.347 1.653 4.013
Mo 1.347 1.653 1.332
Si 0.000 0.000 2.830
```


6.
Entry from Alexandria via LeMat-Bulk: a crystal of HgPb2Cl relaxed with PBEsol (SCAN).

Formation energy without anion corrections (eV/atom): -0.357
Relative energy among the computed polymorphs (meV/atom): 0
SG: Pmm2 (25)

Geometry as extended XYZ:
```
4
Lattice="3.461 0.000 0.000 0.000 5.681 0.000 0.000 0.000 5.730" Properties=species:S:1:pos:R:3 pbc="T T T"
Pb 0.000 0.000 0.696
Pb 1.730 2.841 0.735
Hg 1.730 2.841 3.601
Cl 0.000 0.000 3.562
```


7.
Entry from Alexandria via LeMat-Bulk: a crystal of Cu2Ir relaxed with PBEsol (SCAN).

Relative energy among the computed polymorphs (meV/atom): 104
Calculated formation energy (eV per atom): 0.143
SG: I4/mmm (139)

Geometry as extended XYZ:
```
3
Lattice="2.630 0.000 0.000 0.000 2.630 0.000 -1.315 -1.315 5.369" Properties=species:S:1:pos:R:3 pbc="T T T"
Cu 1.315 1.315 1.838
Cu 0.000 0.000 3.531
Ir 0.000 0.000 0.000
```


8.
Entry from Alexandria via LeMat-Bulk: a crystal of Li3BiO4 relaxed with PBEsol (SCAN).

Formation energy without anion corrections (eV/atom): -1.627
SG: P4_2/mnm (136)

Geometry as extended XYZ:
```
32
Lattice="4.259 0.000 0.000 0.000 8.717 0.000 0.000 0.000 8.717" Properties=species:S:1:pos:R:3 pbc="T T T"
Li 2.129 7.581 1.136
Li 0.000 5.495 5.495
Li 0.000 3.452 7.741
Li 2.129 5.335 7.811
Li 2.129 1.136 7.581
Li 2.129 0.907 3.382
Li 0.000 7.741 3.452
Li 0.000 5.265 0.976
Li 2.129 7.811 5.335
Li 0.000 3.222 3.222
Li 0.000 0.976 5.265
Li 2.129 3.382 0.907
Bi 2.129 3.189 5.528
Bi 2.129 5.528 3.189
Bi 0.000 7.548 7.548
Bi 0.000 1.170 1.170
O 0.000 7.724 0.993
O 2.129 3.365 3.365
O 2.129 5.419 1.135
O 2.129 7.582 3.298
O 2.129 7.638 7.638
O 2.129 1.079 1.079
O 2.129 1.135 5.419
O 2.129 5.352 5.352
O 0.000 5.494 7.656
O 0.000 1.061 3.223
O 0.000 3.280 5.437
O 0.000 5.437 3.280
O 0.000 7.656 5.494
O 2.129 3.298 7.582
O 0.000 0.993 7.724
O 0.000 3.223 1.061
```


9.
Entry from Alexandria via LeMat-Bulk: a crystal of FeCo2 relaxed with PBEsol (SCAN).

Calculated formation energy (eV per atom): 0.008
SG: P4/nmm (129)

Geometry as extended XYZ:
```
6
Lattice="2.403 0.416 0.000 -0.416 2.403 0.000 0.000 0.000 10.733" Properties=species:S:1:pos:R:3 pbc="T T T"
Co 0.289 1.906 2.577
Co 1.698 0.913 0.889
Co 0.289 1.906 9.844
Co 1.698 0.913 8.156
Fe 0.289 1.906 6.324
Fe 1.698 0.913 4.409
```


10.
Entry from Alexandria via LeMat-Bulk: a crystal of Na3TlTe relaxed with PBEsol (SCAN).

Formation energy without anion corrections (eV/atom): 0.005
SG: Pm-3m (221)

Geometry as extended XYZ:
```
5
Lattice="5.620 0.000 0.000 0.000 5.620 0.000 0.000 0.000 5.620" Properties=species:S:1:pos:R:3 pbc="T T T"
Na 0.000 2.810 0.000
Na 0.000 0.000 2.810
Na 2.810 0.000 0.000
Tl 0.000 0.000 0.000
Te 2.810 2.810 2.810
```


11.
Entry from Alexandria via LeMat-Bulk: a crystal of LiTc2Hg relaxed with PBEsol (SCAN).

Calculated formation energy (eV per atom): 0.268
SG: Pmmm (47)

Geometry as extended XYZ:
```
4
Lattice="3.207 0.000 0.000 0.000 3.967 0.000 0.000 0.000 4.640" Properties=species:S:1:pos:R:3 pbc="T T T"
Hg 1.604 0.000 2.320
Li 0.000 1.983 2.320
Tc 0.000 0.000 0.000
Tc 1.604 1.983 0.000
```


12.
Entry from Alexandria via LeMat-Bulk: a crystal of Zr2AgIr2 relaxed with PBEsol (SCAN).

Relative energy among the computed polymorphs (meV/atom): 0
Calculated formation energy (eV per atom): -0.766
SG: P4/mbm (127)

Geometry as extended XYZ:
```
10
Lattice="-2.601 1.075 1.381 0.456 -5.531 5.165 4.208 4.486 4.433" Properties=species:S:1:pos:R:3 pbc="T T T"
Ir 3.801 1.863 5.709
Ir 3.070 -1.924 7.282
Ir 0.863 -2.908 3.889
Ir 1.593 0.879 2.316
Zr 1.556 2.612 4.456
Zr 2.530 0.641 7.824
Zr 0.506 -2.582 6.523
Zr -0.467 -0.611 3.155
Ag 0.000 0.000 0.000
Ag 2.332 -0.523 4.799
```


Number 1: total DFT energy (no corrections) -60.0 eV/f.u.. Number 2: total DFT energy (no corrections) -115.1 eV/f.u.. Number 3: total DFT energy (no corrections) -75.9 eV/f.u.. Number 4: total DFT energy (no corrections) -67.6 eV/f.u.. Number 5: total DFT energy (no corrections) -49.4 eV/f.u.. Number 6: total DFT energy (no corrections) -229.1 eV/f.u.. Number 7: total DFT energy (no corrections) -101.1 eV/f.u.. Number 8: total DFT energy (no corrections) -123.7 eV/f.u.. Number 9: total DFT energy (no corrections) -52.7 eV/f.u.. Number 10: total DFT energy (no corrections) -122.2 eV/f.u.. Number 11: total DFT energy (no corrections) -139.6 eV/f.u.. Number 12: total DFT energy (no corrections) -238.8 eV/f.u..